(1)
Material: Si2WSe
Method: DFT, PBE
State: optimized geometry

Properties
space-group type: Cmmm, No. 65
total moment: 0.0 μB/f.u.
volume: 15.34 Å³ per atom
formation energy without anion corrections: 0.4970 eV per atom

Lattice parameters (Å, degrees): 4.653 4.653 2.953 90.00 90.00 106.37
Fractional coordinates of all 4 atoms:
Se (0.000, 0.500, 0.500)
Si (0.000, 0.000, 0.000)
Si (0.500, 0.500, 0.000)
W (0.500, 0.000, 0.500)

(2)
Material: SrNb2Co
Method: DFT, PBE
State: optimized geometry

Properties
E_form: 23.56 kcal/mol of atoms
space-group type: I4_1/amd, No. 141
total moment: 0.0 μB/f.u.
volume: 27.10 Å³ per atom
polymorph energy (0 for the lowest one): 12 kJ/mol of formula units

Lattice parameters (Å, degrees): 5.083 5.083 9.129 73.84 73.84 90.00
Fractional coordinates of all 8 atoms:
Sr (0.750, 0.250, 0.500)
Sr (0.000, 0.000, 0.000)
Co (0.500, 0.500, 0.000)
Co (0.250, 0.750, 0.500)
Nb (0.375, 0.625, 0.750)
Nb (0.375, 0.125, 0.250)
Nb (0.875, 0.625, 0.750)
Nb (0.375, 0.625, 0.250)

(3)
Material: Y2AsSe2
Method: DFT, PBE
State: optimized geometry

Properties
space-group type: I4/mmm, No. 139
total moment: 0.0 μB/f.u.
volume: 24.83 Å³ per atom
polymorph energy (0 for the lowest one): 171 kJ/mol of formula units
formation energy without anion corrections: -1.0551 eV per atom

Lattice parameters (Å, degrees): 4.128 4.128 7.849 74.75 74.75 90.00
Fractional coordinates of all 5 atoms:
Y (0.387, 0.387, 0.227)
Y (0.613, 0.613, 0.773)
Se (0.250, 0.750, 0.500)
Se (0.750, 0.250, 0.500)
As (0.000, 0.000, 0.000)

(4)
Material: TlCdHI2
Method: DFT, PBE
State: optimized geometry

Properties
space-group type: P4/mmm, No. 123
total moment: 0.0 μB/f.u.
energy: -11.2 eV per cell
volume: 30.19 Å³ per atom

Lattice parameters (Å, degrees): 6.202 6.202 3.924 90.00 90.00 90.00
Fractional coordinates of all 5 atoms:
Cd (0.000, 0.000, 0.000)
I (0.000, 0.500, 0.000)
I (0.500, 0.000, 0.000)
Tl (0.500, 0.500, 0.500)
H (0.000, 0.000, 0.500)

(5)
Material: Be2PRh2
Method: DFT, PBE
State: optimized geometry

Properties
E_form: -7.25 kcal/mol of atoms
space-group type: P4/mbm, No. 127
total moment: 0.0 μB/f.u.
volume: 11.27 Å³ per atom
polymorph energy (0 for the lowest one): 22 kJ/mol of formula units

Lattice parameters (Å, degrees): 5.879 5.879 3.261 90.00 90.00 90.00
Fractional coordinates of all 10 atoms:
Be (0.373, 0.873, 0.000)
Be (0.127, 0.373, 0.000)
Be (0.627, 0.127, 0.000)
Be (0.873, 0.627, 0.000)
Rh (0.670, 0.830, 0.500)
Rh (0.830, 0.330, 0.500)
Rh (0.330, 0.170, 0.500)
Rh (0.170, 0.670, 0.500)
P (0.500, 0.500, 0.000)
P (0.000, 0.000, 0.000)

(6)
Material: HgSb3Pb5
Method: DFT, PBE
State: optimized geometry

Properties
space-group type: P6_3/mcm, No. 193
total moment: 0.0 μB/f.u.
volume: 30.63 Å³ per atom
formation energy without anion corrections: 0.0097 eV per atom

Lattice parameters (Å, degrees): 6.710 9.740 9.740 120.00 90.00 90.00
Fractional coordinates of all 18 atoms:
Pb (0.000, 0.333, 0.667)
Pb (0.500, 0.667, 0.333)
Pb (0.250, 0.000, 0.690)
Pb (0.250, 0.690, 0.000)
Pb (0.750, 0.690, 0.690)
Pb (0.250, 0.310, 0.310)
Pb (0.000, 0.667, 0.333)
Pb (0.500, 0.333, 0.667)
Pb (0.750, 0.000, 0.310)
Pb (0.750, 0.310, 0.000)
Sb (0.750, 0.000, 0.635)
Sb (0.750, 0.365, 0.365)
Sb (0.250, 0.000, 0.365)
Sb (0.250, 0.635, 0.635)
Sb (0.250, 0.365, 0.000)
Sb (0.750, 0.635, 0.000)
Hg (0.500, 0.000, 0.000)
Hg (0.000, 0.000, 0.000)

(7)
Material: KPt2Se
Method: DFT, PBE
State: optimized geometry

Properties
space-group type: I-42d, No. 122
total moment: 0.0 μB/f.u.
volume: 28.88 Å³ per atom
formation energy without anion corrections: -0.3825 eV per atom

Lattice parameters (Å, degrees): 5.398 5.398 8.799 72.13 72.13 90.00
Fractional coordinates of all 8 atoms:
K (0.500, 0.500, 0.000)
K (0.250, 0.750, 0.500)
Pt (0.858, 0.125, 0.250)
Pt (0.375, 0.142, 0.750)
Pt (0.892, 0.625, 0.250)
Pt (0.875, 0.108, 0.750)
Se (0.000, 0.000, 0.000)
Se (0.750, 0.250, 0.500)

(8)
Material: Nd6Ho3Er
Method: DFT, PBE
State: optimized geometry

Properties
E_form: 5.02 kcal/mol of atoms
space-group type: P2_1/c, No. 14
total moment: 0.0 μB/f.u.
volume: 34.83 Å³ per atom
polymorph energy (0 for the lowest one): 73 kJ/mol of formula units

Lattice parameters (Å, degrees): 5.502 10.326 12.673 90.00 104.67 90.00
Fractional coordinates of all 20 atoms:
Nd (0.002, 0.314, 0.995)
Nd (0.834, 0.004, 0.730)
Nd (0.666, 0.504, 0.770)
Nd (0.334, 0.496, 0.230)
Nd (0.567, 0.171, 0.145)
Nd (0.067, 0.329, 0.645)
Nd (0.498, 0.814, 0.505)
Nd (0.166, 0.996, 0.270)
Nd (0.502, 0.186, 0.495)
Nd (0.433, 0.829, 0.855)
Nd (0.933, 0.671, 0.355)
Nd (0.998, 0.686, 0.005)
Ho (0.000, 0.000, 0.500)
Ho (0.442, 0.168, 0.865)
Ho (0.500, 0.500, 0.000)
Ho (0.942, 0.332, 0.365)
Ho (0.058, 0.668, 0.635)
Ho (0.558, 0.832, 0.135)
Er (0.500, 0.500, 0.500)
Er (0.000, 0.000, 0.000)